! NaCo3Pt | Alexandria via LeMat-Bulk | PBE | relaxed; values from VASP
! E_form = 1.78 eV/atom
! Space group = Pm-3m, No. 221
&SYSTEM
  ibrav = 0, nat = 5, ntyp = 3
/
ATOMIC_SPECIES
Pt 195.08 Pt.upf
Co 58.93 Co.upf
Na 22.99 Na.upf
CELL_PARAMETERS angstrom
-4.133 0.610 0.618
0.222 -2.165 3.620
0.840 3.575 2.087
ATOMIC_POSITIONS crystal
Pt 0.500 0.500 0.500
Co 0.000 0.000 0.500
Co 0.000 0.500 0.000
Co 0.500 0.000 0.000
Na 0.000 0.000 0.000

***

! NaCo2Pt2 | Alexandria via LeMat-Bulk | PBE | relaxed; values from VASP
! E_form = -0.05 eV/atom
! Space group = P4/mbm, No. 127
&SYSTEM
  ibrav = 0, nat = 10, ntyp = 3
/
ATOMIC_SPECIES
Co 58.93 Co.upf
Pt 195.08 Pt.upf
Na 22.99 Na.upf
CELL_PARAMETERS angstrom
-0.463 0.729 -7.508
-7.187 -2.327 0.217
-0.808 2.523 0.295
ATOMIC_POSITIONS crystal
Co 0.115 0.385 0.000
Co 0.385 0.885 0.000
Co 0.615 0.115 0.000
Co 0.885 0.615 0.000
Pt 0.822 0.322 0.500
Pt 0.678 0.822 0.500
Pt 0.178 0.678 0.500
Pt 0.322 0.178 0.500
Na 0.500 0.500 0.000
Na 0.000 0.000 0.000

***

! NaCoRePt2 | Alexandria via LeMat-Bulk | PBE | relaxed; values from VASP
! E_form = 1.40 eV/atom
! Space group = P4/mmm, No. 123
&SYSTEM
  ibrav = 0, nat = 5, ntyp = 4
/
ATOMIC_SPECIES
Pt 195.08 Pt.upf
Co 58.93 Co.upf
Na 22.99 Na.upf
Re 186.21 Re.upf
CELL_PARAMETERS angstrom
4.592 0.000 0.000
0.000 4.414 0.000
0.000 0.000 4.592
ATOMIC_POSITIONS crystal
Pt 0.000 0.000 0.500
Pt 0.500 0.000 0.000
Co 0.000 0.000 0.000
Na 0.000 0.500 0.000
Re 0.500 0.500 0.500

***

! NaCo2RePt | Alexandria via LeMat-Bulk | PBE | relaxed; values from VASP
! E_form = 1.80 eV/atom
! Space group = P4/mmm, No. 123
&SYSTEM
  ibrav = 0, nat = 5, ntyp = 4
/
ATOMIC_SPECIES
Co 58.93 Co.upf
Pt 195.08 Pt.upf
Re 186.21 Re.upf
Na 22.99 Na.upf
CELL_PARAMETERS angstrom
-3.856 1.788 -1.831
1.125 -1.938 -4.264
-2.320 -3.841 1.134
ATOMIC_POSITIONS crystal
Co 0.500 0.000 0.000
Co 0.000 0.000 0.500
Pt 0.000 0.000 0.000
Re 0.500 0.500 0.500
Na 0.000 0.500 0.000

***

! NaPuCo4 | Alexandria via LeMat-Bulk | PBE | relaxed; values from VASP
! E_form = 0.13 eV/atom
! Space group = F-43m, No. 216
&SYSTEM
  ibrav = 0, nat = 6, ntyp = 3
/
ATOMIC_SPECIES
Co 58.93 Co.upf
Pu 244.00 Pu.upf
Na 22.99 Na.upf
CELL_PARAMETERS angstrom
-2.100 -4.068 1.936
2.500 -2.760 3.292
-1.393 -0.047 4.771
ATOMIC_POSITIONS crystal
Co 0.625 0.625 0.625
Co 0.625 0.625 0.125
Co 0.125 0.625 0.625
Co 0.625 0.125 0.625
Pu 0.250 0.250 0.250
Na 0.000 0.000 0.000

***

! Na3Pu3CoS8 | Alexandria via LeMat-Bulk | PBE | relaxed; values from VASP
! Raw formation energy = -1.24 eV/atom
! Space group = R-3m, No. 166
&SYSTEM
  ibrav = 0, nat = 15, ntyp = 4
/
ATOMIC_SPECIES
S 32.06 S.upf
Na 22.99 Na.upf
Pu 244.00 Pu.upf
Co 58.93 Co.upf
CELL_PARAMETERS angstrom
-6.712 -0.214 -3.835
1.376 -5.072 5.673
-1.363 7.713 1.955
ATOMIC_POSITIONS crystal
S 0.785 0.569 0.299
S 0.230 0.014 0.298
S 0.216 0.986 0.702
S 0.770 0.986 0.702
S 0.743 0.487 0.730
S 0.215 0.431 0.701
S 0.257 0.513 0.270
S 0.784 0.014 0.298
Na 0.500 0.500 0.000
Na 0.000 0.000 0.000
Na 0.000 0.500 0.000
Pu 0.500 0.000 0.500
Pu 0.500 0.500 0.500
Pu 0.000 0.500 0.500
Co 0.000 0.000 0.500

***

Number 1: total magnetization 1.104 μB/atom. Number 2: total magnetization 0.875 μB/atom. Number 3: total magnetization 1.208 μB/atom. Number 4: total magnetization 1.621 μB/atom. Number 5: total magnetization 0.072 μB/atom. Number 6: total magnetization 0.933 μB/atom.